Compound: TiInI5
Source: Alexandria
Functional: PBE-GGA
Structure: relaxed

Summary:
Crystal system: monoclinic
Raw formation energy (eV/atom): -0.599
DOS at the Fermi energy (states/eV per atom): 0.03

abc: 9.3449 9.3449 10.7038
angles: 70.21 70.21 52.02
With the nearest neighbours (Å) after each atom.
Sites, in units of the cell vectors:
1 Ti 0.0000 0.0000 0.5000  6 I 2.72-2.88
2 I 0.6545 0.0965 0.1330  1 Ti 2.73
3 Ti 0.0000 0.0000 0.0000  6 I 2.72-2.88
4 I 0.9035 0.3455 0.3670  1 Ti 2.73
5 I 0.3455 0.9024 0.4862  1 Ti 2.72
6 I 0.6545 0.0976 0.5138  1 Ti 2.72
7 I 0.0965 0.6545 0.6330  1 Ti 2.73
8 I 0.1296 0.8704 0.2500  2 Ti 2.88
9 I 0.3455 0.9035 0.8670  1 Ti 2.73
10 I 0.9024 0.3455 0.9862  1 Ti 2.72
11 In 0.5728 0.4272 0.2500  5 I 3.27-3.63
12 In 0.4272 0.5728 0.7500  5 I 3.27-3.63
13 I 0.8704 0.1296 0.7500  2 Ti 2.88
14 I 0.0976 0.6545 0.0138  1 Ti 2.72

---

Compound: TiInI3
Source: Alexandria
Functional: PBE-GGA
Structure: relaxed

Summary:
ΔE to the lowest computed polymorph (meV/atom): 948.6
Crystal system: cubic
Raw formation energy (eV/atom): 0.540
DOS at the Fermi energy (states/eV per atom): 5.57

abc: 5.9717 5.9717 5.9717
angles: 90.00 90.00 90.00
With the nearest neighbours (Å) after each atom.
Sites, in units of the cell vectors:
1 I 0.0000 0.5000 0.0000  2 In 2.99
2 In 0.0000 0.0000 0.0000  6 I 2.99
3 I 0.5000 0.0000 0.0000  2 In 2.99
4 I 0.0000 0.0000 0.5000  2 In 2.99
5 Ti 0.5000 0.5000 0.5000  12 I 4.22

---

Compound: TiIn2I4
Source: Alexandria
Functional: PBE-GGA
Structure: relaxed

Summary:
Crystal system: tetragonal
Raw formation energy (eV/atom): -0.435
DOS at the Fermi energy (states/eV per atom): 0.76

abc: 5.6470 5.6470 9.5726
angles: 72.84 72.84 90.00
With the nearest neighbours (Å) after each atom.
Sites, in units of the cell vectors:
1 Ti 0.0000 0.0000 0.0000  6 I 2.82-2.92
2 In 0.3614 0.3614 0.2772  5 I 3.37-3.71
3 In 0.6386 0.6386 0.7228  5 I 3.37-3.71
4 I 0.8321 0.8321 0.3357  1 Ti 2.92
5 I 0.0000 0.5000 0.0000  2 Ti 2.82
6 I 0.1679 0.1679 0.6643  1 Ti 2.92
7 I 0.5000 0.0000 0.0000  2 Ti 2.82

---

Compound: Ti2InI6
Source: Alexandria
Functional: PBE-GGA
Structure: relaxed

Summary:
ΔE to the lowest computed polymorph (meV/atom): 0.0
Crystal system: trigonal
Raw formation energy (eV/atom): -0.642
DOS at the Fermi energy (states/eV per atom): 1.22

abc: 7.6194 7.3549 7.3549
angles: 120.00 90.00 90.00
With the nearest neighbours (Å) after each atom.
Sites, in units of the cell vectors:
1 I 0.2859 0.0000 0.6326  2 Ti 2.85
2 Ti 0.5000 0.6667 0.3333  6 I 2.85
3 In 0.0000 0.0000 0.0000  6 I 3.47
4 I 0.7141 0.0000 0.3674  2 Ti 2.85
5 I 0.7141 0.3674 0.0000  2 Ti 2.85
6 I 0.7141 0.6326 0.6326  2 Ti 2.85
7 I 0.2859 0.6326 0.0000  2 Ti 2.85
8 Ti 0.5000 0.3333 0.6667  6 I 2.85
9 I 0.2859 0.3674 0.3674  2 Ti 2.85